# NdV2NiO8, optimized geometry, DFT PBE with a Hubbard U
data_NdV2NiO8
_chemical_formula_sum 'Nd1 V2 Ni1 O8'
_space_group_name_H-M_alt 'P -3 m 1'
_space_group_IT_number 164
_space_group_name_Hall '-P 3 2"'
_cell_length_a 5.7937
_cell_length_b 5.7937
_cell_length_c 6.0315
_cell_angle_alpha 90.00
_cell_angle_beta 90.00
_cell_angle_gamma 120.00
loop_
_atom_site_label
_atom_site_type_symbol
_atom_site_fract_x
_atom_site_fract_y
_atom_site_fract_z
_atom_site_occupancy
Nd1 Nd 0.0000 0.0000 0.0000 1
V1 V 0.3333 0.6667 0.6285 1
Ni1 Ni 0.0000 0.0000 0.5000 1
O1 O 0.1632 0.3264 0.7158 1
O2 O 0.3333 0.6667 0.3548 1
# * raw total energy: -7.02 eV per atom
# * magnetic moment: 1.0 μB/f.u.